# 1
Below is a relaxed structure of Tb5Pr5Ho2, with properties calculated at the PBE-GGA level.

Cell lengths 15.361, 5.110, 11.457 Å; angles 90.00, 116.54, 90.00 degrees
Space group C2/m (No. 12)
Unique sites:
Tb1 0.000 0.000 0.000 (multiplicity 2)
Tb2 0.081 0.000 0.749 (multiplicity 4)
Tb3 0.167 0.000 0.500 (multiplicity 4)
Pr1 0.000 0.500 0.500 (multiplicity 2)
Pr2 0.164 0.500 0.999 (multiplicity 4)
Pr3 0.249 0.000 0.251 (multiplicity 4)
Ho1 0.083 0.500 0.253 (multiplicity 4)

## Properties
* calculated total energy: -4.664 eV/atom
* ρ: 7.5 g/cm3
* volume: 804.61 Å³/cell
* crystal system: monoclinic

***

# 2
Below is a relaxed structure of BeInSi, with properties calculated at the PBE-GGA level.

Cell lengths 3.8588, 3.8588, 4.0927 Å; angles 90.00, 90.00, 120.00 degrees
Space group P-6m2 (No. 187)
Unique sites:
Be1 0.0000 0.0000 0.0000 (multiplicity 1)
In1 0.6667 0.3333 0.5000 (multiplicity 1)
Si1 0.3333 0.6667 0.0000 (multiplicity 1)

## Properties
* calculated total energy: -3.658 eV/atom
* ρ: 4.8 g/cm3
* volume: 52.78 Å³/cell
* crystal system: hexagonal

***

# 3
Below is a relaxed structure of DyPu3U4As8, with properties calculated at the PBE-GGA level.

Cell lengths 8.1862, 8.1862, 20.2031 Å; angles 90.00, 90.00, 120.00 degrees
Space group R-3m (No. 166, hexagonal axes)
Unique sites:
Dy1 0.0000 0.0000 0.0000 (multiplicity 3)
Pu1 0.0000 0.5000 0.0000 (multiplicity 9)
U1 0.0000 0.0000 0.5000 (multiplicity 3)
U2 0.0000 0.5000 0.5000 (multiplicity 9)
As1 0.0000 0.0000 0.2487 (multiplicity 6)
As2 0.0006 0.5003 0.7515 (multiplicity 18)

## Properties
* calculated total energy: -9.046 eV/atom
* ρ: 10.4 g/cm3
* volume: 1172.50 Å³/cell
* crystal system: trigonal

***

# 4
Below is a relaxed structure of La3NdDy2As6, with properties calculated at the PBE-GGA level.

Cell lengths 7.405, 12.826, 7.401 Å; angles 90.00, 109.48, 90.00 degrees
Space group C2/m (No. 12)
Unique sites:
La1 0.000 0.000 0.000 (multiplicity 2)
La2 0.000 0.334 0.000 (multiplicity 4)
Nd1 0.000 0.500 0.500 (multiplicity 2)
Dy1 0.000 0.167 0.500 (multiplicity 4)
As1 0.241 0.000 0.739 (multiplicity 4)
As2 0.249 0.331 0.740 (multiplicity 8)

## Properties
* calculated total energy: -6.262 eV/atom
* ρ: 6.7 g/cm3
* volume: 662.71 Å³/cell
* crystal system: monoclinic

***

# 5
Below is a relaxed structure of KS, with properties calculated at the PBE-GGA level.

Cell lengths 7.021, 7.021, 5.999 Å; angles 90.00, 90.00, 90.00 degrees
Space group P4_2/mnm (No. 136)
Unique sites:
K1 0.207 0.207 0.000 (multiplicity 4)
S1 0.108 0.108 0.500 (multiplicity 4)

## Properties
* calculated total energy: -3.469 eV/atom
* ρ: 1.6 g/cm3
* volume: 295.71 Å³/cell
* crystal system: tetragonal

***

# 6
Below is a relaxed structure of Y2ZnIr, with properties calculated at the PBE-GGA level.

Cell lengths 4.202, 4.202, 9.578 Å; angles 90.00, 90.00, 90.00 degrees
Space group I-4m2 (No. 119)
Unique sites:
Y1 0.000 0.000 0.000 (multiplicity 2)
Y2 0.000 0.500 0.250 (multiplicity 2)
Zn1 0.000 0.500 0.750 (multiplicity 2)
Ir1 0.000 0.000 0.500 (multiplicity 2)

## Properties
* calculated total energy: -6.120 eV/atom
* ρ: 8.6 g/cm3
* volume: 169.13 Å³/cell
* crystal system: tetragonal

***

# 7
Below is a relaxed structure of ScHRuPt2, with properties calculated at the PBE-GGA level.

Cell lengths 4.004, 4.004, 4.084 Å; angles 90.00, 90.00, 90.00 degrees
Space group P4/mmm (No. 123)
Unique sites:
Sc1 0.000 0.000 0.000 (multiplicity 1)
H1 0.500 0.500 0.500 (multiplicity 1)
Ru1 0.500 0.500 0.000 (multiplicity 1)
Pt1 0.000 0.500 0.500 (multiplicity 2)

## Properties
* calculated total energy: -6.747 eV/atom
* ρ: 13.6 g/cm3
* volume: 65.47 Å³/cell
* crystal system: tetragonal

***

# 8
Below is a relaxed structure of LiV2I, with properties calculated at the PBE-GGA level.

Cell lengths 3.677, 3.677, 20.228 Å; angles 90.00, 90.00, 90.00 degrees
Space group I-42d (No. 122)
Unique sites:
Li1 0.000 0.000 0.000 (multiplicity 4)
V1 0.231 0.250 0.625 (multiplicity 8)
I1 0.000 0.000 0.500 (multiplicity 4)

## Properties
* calculated total energy: -4.866 eV/atom
* ρ: 5.7 g/cm3
* distance to the lowest polymorph of the same formula: 0.0 meV/atom
* volume: 273.53 Å³/cell
* crystal system: tetragonal

***

# 9
Below is a relaxed structure of Tb3SmN, with properties calculated at the PBE-GGA level.

Cell lengths 5.001, 5.001, 5.001 Å; angles 90.00, 90.00, 90.00 degrees
Space group Pm-3m (No. 221)
Unique sites:
Tb1 0.000 0.000 0.500 (multiplicity 3)
Sm1 0.500 0.500 0.500 (multiplicity 1)
N1 0.000 0.000 0.000 (multiplicity 1)

## Properties
* calculated total energy: -5.884 eV/atom
* ρ: 8.5 g/cm3
* volume: 125.08 Å³/cell
* crystal system: cubic

***

# 10
Below is a relaxed structure of K5PbCl8, with properties calculated at the PBE-GGA level.

Cell lengths 9.341, 9.341, 9.477 Å; angles 90.00, 90.00, 90.00 degrees
Space group I-4 (No. 82)
Unique sites:
K1 0.000 0.000 0.000 (multiplicity 2)
K2 0.125 0.748 0.370 (multiplicity 8)
Pb1 0.000 0.500 0.750 (multiplicity 2)
Cl1 0.066 0.798 0.697 (multiplicity 8)
Cl2 0.067 0.666 0.040 (multiplicity 8)

## Properties
* calculated total energy: -3.297 eV/atom
* ρ: 2.8 g/cm3
* volume: 826.94 Å³/cell
* crystal system: tetragonal

***

# 11
Below is a relaxed structure of TlIn3Pb6, with properties calculated at the PBE-GGA level.

Cell lengths 11.660, 15.521, 6.912 Å; angles 90.00, 90.00, 90.00 degrees
Space group Cmc2_1 (No. 36)
Unique sites:
Tl1 0.000 0.177 0.000 (multiplicity 4)
In1 0.000 0.372 0.088 (multiplicity 4)
In2 0.185 0.096 0.685 (multiplicity 8)
Pb1 0.000 0.039 0.359 (multiplicity 4)
Pb2 0.000 0.258 0.520 (multiplicity 4)
Pb3 0.143 0.450 0.522 (multiplicity 8)
Pb4 0.245 0.293 0.800 (multiplicity 8)

## Properties
* calculated total energy: -3.206 eV/atom
* ρ: 9.5 g/cm3
* volume: 1250.90 Å³/cell
* crystal system: orthorhombic

***

# 12
Below is a relaxed structure of PBr, with properties calculated at the PBE-GGA level.

Cell lengths 4.9902, 4.9902, 4.5636 Å; angles 90.00, 90.00, 120.00 degrees
Space group P6_3/mmc (No. 194)
Unique sites:
P1 0.0000 0.0000 0.0000 (multiplicity 2)
Br1 0.3333 0.6667 0.2500 (multiplicity 2)

## Properties
* calculated total energy: -2.862 eV/atom
* ρ: 3.7 g/cm3
* distance to the lowest polymorph of the same formula: 809.7 meV/atom
* volume: 98.42 Å³/cell
* crystal system: hexagonal